The following is a DFT calculation (PBE) of crystalline CeZnAsN at its relaxed geometry.

Output
The value obtained for the uncorrected formation energy is -3.920 eV/f.u.

Unit cell a=4.0272 b=4.0272 c=10.8029 alpha=79.26 beta=79.26 gamma=60.00
Atoms (fractional coordinates):
Zn (0.6952, 0.6952, 0.9144)
Zn (0.3048, 0.3048, 0.0856)
Ce (0.8770, 0.8770, 0.3690)
Ce (0.1230, 0.1230, 0.6310)
N (0.8062, 0.8062, 0.5814)
N (0.1938, 0.1938, 0.4186)
As (0.3886, 0.3886, 0.8341)
As (0.6114, 0.6114, 0.1659)